No. 1
PBE Pr6Pt2CBr3, optimized geometry; E_tot = -5.632 eV per atom; raw formation energy = -24.19 kcal/mol of atoms; SG = No. 12
1.0
3.5883 -6.2033 0.0000
3.5883 6.2033 0.0000
-2.3676 0.0000 7.6314
Pr Pt C Br
6 2 1 3
Direct
0.0646 0.3692 0.1950
0.2401 0.2401 0.8040
0.3692 0.0646 0.1950
0.6308 0.9354 0.8050
0.7599 0.7599 0.1960
0.9354 0.6308 0.8050
0.3335 0.6665 0.0000
0.6665 0.3335 0.0000
0.0000 0.0000 0.0000
0.1667 0.8333 0.5000
0.5000 0.5000 0.5000
0.8333 0.1667 0.5000

No. 2
PBE Sm5AlSi2, optimized geometry; E_tot = -5.285 eV per atom; raw formation energy = -11.82 kcal/mol of atoms; SG = No. 140
1.0
-3.8756 3.8756 7.1526
3.8756 -3.8756 7.1526
3.8756 3.8756 -7.1526
Sm Al Si
10 2 4
Direct
0.0000 0.0000 0.0000
0.0359 0.5359 0.8544
0.1815 0.0359 0.5000
0.3185 0.8185 0.8544
0.4641 0.3185 0.5000
0.5000 0.5000 0.0000
0.5359 0.6815 0.5000
0.6815 0.1815 0.1456
0.8185 0.9641 0.5000
0.9641 0.4641 0.1456
0.2500 0.2500 0.0000
0.7500 0.7500 0.0000
0.1167 0.3833 0.5000
0.3833 0.8833 0.2666
0.6167 0.1167 0.7334
0.8833 0.6167 0.5000

No. 3
PBE Pr6Nd8Sc, optimized geometry; ΔE_f = 0.106 eV/atom; E_tot = -4.770 eV per atom; SG = No. 148
1.0
4.6622 2.6917 7.0445
-4.6622 2.6917 7.0445
0.0000 -5.3834 7.0445
Pr Nd Sc
6 8 1
Direct
0.0421 0.5969 0.7371
0.2629 0.9579 0.4031
0.4031 0.2629 0.9579
0.5969 0.7371 0.0421
0.7371 0.0421 0.5969
0.9579 0.4031 0.2629
0.0778 0.0778 0.0778
0.2164 0.6131 0.2556
0.2556 0.2164 0.6131
0.3869 0.7444 0.7836
0.6131 0.2556 0.2164
0.7444 0.7836 0.3869
0.7836 0.3869 0.7444
0.9222 0.9222 0.9222
0.5000 0.5000 0.5000

No. 4
PBE Pa6TlTe12, optimized geometry; E_tot = -5.733 eV per atom; raw formation energy = -14.43 kcal/mol of atoms; SG = No. 166
1.0
7.2864 4.2068 3.5714
-7.2864 4.2068 3.5714
0.0000 -8.4136 3.5714
Pa Tl Te
6 1 12
Direct
0.2659 0.2659 0.6747
0.2659 0.6747 0.2659
0.3253 0.7341 0.7341
0.6747 0.2659 0.2659
0.7341 0.3253 0.7341
0.7341 0.7341 0.3253
0.0000 0.0000 0.0000
0.1259 0.5000 0.8741
0.1259 0.8741 0.5000
0.1662 0.4249 0.4249
0.4249 0.1662 0.4249
0.4249 0.4249 0.1662
0.5000 0.1259 0.8741
0.5000 0.8741 0.1259
0.5751 0.5751 0.8338
0.5751 0.8338 0.5751
0.8338 0.5751 0.5751
0.8741 0.1259 0.5000
0.8741 0.5000 0.1259

no.,total magnetization (μB per cell)
1,0.01
2,0.00
3,0.00
4,7.11